No. 1
Mg2ZrCr | GGA-PBE | optimized geometry

Cell and atoms, written as POSCAR:
```
Mg2ZrCr
1.0
3.9813 0.0000 0.0000
0.0000 3.9813 0.0000
0.0000 0.0000 21.4068
Mg Zr Cr
8 4 4
Direct
0.2445 0.2500 0.1250
0.2500 0.7445 0.3750
0.2500 0.7555 0.8750
0.2555 0.2500 0.6250
0.7445 0.7500 0.6250
0.7500 0.2445 0.8750
0.7500 0.2555 0.3750
0.7555 0.7500 0.1250
0.0000 0.0000 0.5000
0.0000 0.5000 0.7500
0.5000 0.0000 0.2500
0.5000 0.5000 0.0000
0.0000 0.0000 0.0000
0.0000 0.5000 0.2500
0.5000 0.0000 0.7500
0.5000 0.5000 0.5000
```

---

No. 2
Mg2ZrCr | GGA-PBE | optimized geometry

Cell and atoms, written as POSCAR:
```
Mg2ZrCr
1.0
5.8382 0.0000 0.0000
0.0000 10.1759 0.0000
-0.9227 0.0000 2.7483
Mg Zr Cr
4 2 2
Direct
0.2500 0.2500 0.0000
0.2500 0.7500 0.0000
0.7500 0.2500 0.0000
0.7500 0.7500 0.0000
0.0000 0.0000 0.5000
0.5000 0.5000 0.5000
0.0000 0.5000 0.5000
0.5000 0.0000 0.5000
```

---

No. 3
Mg2ZrCr | GGA-PBE | optimized geometry

Cell and atoms, written as POSCAR:
```
Mg2ZrCr
1.0
3.0586 0.0000 0.0000
-1.5293 2.6488 0.0000
0.0000 0.0000 30.6097
Mg Zr Cr
6 3 3
Direct
0.0000 0.0000 0.2445
0.0000 0.0000 0.7555
0.3333 0.6667 0.4222
0.3333 0.6667 0.9111
0.6667 0.3333 0.0889
0.6667 0.3333 0.5778
0.0000 0.0000 0.0000
0.3333 0.6667 0.6667
0.6667 0.3333 0.3333
0.0000 0.0000 0.5000
0.3333 0.6667 0.1667
0.6667 0.3333 0.8333
```

---

No. 4
MgZr2Cr | GGA-PBE | optimized geometry

Cell and atoms, written as POSCAR:
```
MgZr2Cr
1.0
3.3219 0.0000 0.0000
0.0000 4.8688 0.0000
0.0000 0.0000 4.8685
Mg Zr Cr
1 2 1
Direct
0.0000 0.0000 0.0000
0.5000 0.0000 0.4997
0.5000 0.5000 0.9985
0.0000 0.5000 0.4980
```

---

No. 5
Mg2ZrCr | GGA-PBE | optimized geometry

Cell and atoms, written as POSCAR:
```
Mg2ZrCr
1.0
3.2415 0.0000 0.0000
0.0000 5.0748 0.0000
0.0000 0.0000 9.7573
Mg Zr Cr
4 2 2
Direct
0.0000 0.0000 0.0000
0.0000 0.5000 0.2407
0.5000 0.0000 0.7407
0.5000 0.5000 0.5000
0.0000 0.5000 0.7795
0.5000 0.0000 0.2795
0.0000 0.0000 0.5025
0.5000 0.5000 0.0025
```

---

No. 6
Mg2ZrCr | GGA-PBE | optimized geometry

Cell and atoms, written as POSCAR:
```
Mg2ZrCr
1.0
10.1936 0.0000 0.0000
0.0000 3.1841 0.0000
-1.6847 0.0000 4.9409
Mg Zr Cr
4 2 2
Direct
0.0000 0.0000 0.0000
0.2407 0.0000 0.8018
0.5000 0.5000 0.0000
0.7407 0.5000 0.8018
0.4642 0.0000 0.4703
0.9642 0.5000 0.4703
0.2298 0.5000 0.3142
0.7298 0.0000 0.3142
```

---

No. 7
MgZr2Cr | GGA-PBE | optimized geometry

Cell and atoms, written as POSCAR:
```
MgZr2Cr
1.0
3.2142 0.0000 0.0000
-1.6071 2.7835 0.0000
0.0000 0.0000 27.6635
Mg Zr Cr
3 6 3
Direct
0.0000 0.0000 0.0000
0.3333 0.6667 0.6667
0.6667 0.3333 0.3333
0.0000 0.0000 0.2358
0.0000 0.0000 0.7642
0.3333 0.6667 0.4309
0.3333 0.6667 0.9025
0.6667 0.3333 0.0975
0.6667 0.3333 0.5691
0.0000 0.0000 0.5000
0.3333 0.6667 0.1667
0.6667 0.3333 0.8333
```

---

No. 8
MgZr2Cr | GGA-PBE | optimized geometry

Cell and atoms, written as POSCAR:
```
MgZr2Cr
1.0
3.2480 0.0000 0.0000
0.0000 3.2480 0.0000
0.0000 0.0000 7.7616
Mg Zr Cr
1 2 1
Direct
0.0000 0.0000 0.0000
0.0000 0.0000 0.5673
0.5000 0.5000 0.2897
0.5000 0.5000 0.7810
```

---

no.,E (eV per cell),calculated formation energy (meV/atom)
1,-75.877,598
2,-39.948,347
3,-59.688,366
4,-27.476,209
5,-40.322,300
6,-40.485,280
7,-81.730,268
8,-27.534,195